Record 1
The following is a DFT calculation (GGA-PBE) of crystalline PuMgAgAu at its relaxed geometry.

abc: 5.0101 5.0101 5.0101
angles: 60.00 60.00 60.00
Each line ends with the local moment (μB).
Sites, in units of the cell vectors:
Ag 0.5000 0.5000 0.5000  0.04
Pu 0.7500 0.7500 0.7500  5.36
Mg 0.2500 0.2500 0.2500  0.01
Au 0.0000 0.0000 0.0000  0.04

## Properties
The total magnetic moment is 5.9 μB per cell. The crystal system is cubic. The density of states at the Fermi level is 13.942 states/eV/f.u. As for the calculated formation energy: -0.2316 eV/atom. The calculated density is 10.70 g cm⁻³.

***

Record 2
The following is a DFT calculation (GGA-PBE) of crystalline CeInGa2 at its relaxed geometry.

abc: 3.0476 5.7675 5.7675
angles: 117.97 90.00 90.00
Each line ends with the local moment (μB).
Sites, in units of the cell vectors:
Ga 0.5000 0.0536 0.4460  0.01
Ga 0.5000 0.5540 0.9464  0.01
In 0.5000 0.5537 0.4463  0.01
Ce 0.0000 0.0538 0.9462  0.81

## Properties
The total magnetic moment is 1.1 μB per cell. The crystal system is orthorhombic. The calculation puts the excess energy over the best structure of this formula in the dataset at 0.1268 eV/atom. The density of states at the Fermi level is 5.560 states/eV/f.u. As for the calculated formation energy: -0.3244 eV/atom. The calculated density is 7.31 g cm⁻³.

***

Record 3
The following is a DFT calculation (GGA-PBE) of crystalline Nd3Dy8Y4 at its relaxed geometry.

abc: 6.8005 9.2865 9.2865
angles: 87.21 111.45 111.45
Sites, in units of the cell vectors:
Nd 0.5000 0.5000 0.5000
Nd 0.5000 0.5000 0.0000
Nd 0.5000 0.0000 0.5000
Dy 0.5402 0.2705 0.2705
Dy 0.5000 0.7452 0.2548
Dy 0.9889 0.7346 0.7346
Dy 0.0111 0.2654 0.2654
Dy 0.0000 0.6415 0.3585
Dy 0.0000 0.3585 0.6415
Dy 0.5000 0.2548 0.7452
Dy 0.4598 0.7295 0.7295
Y 0.0000 0.0000 0.0000
Y 0.0000 0.0000 0.5000
Y 0.5000 0.0000 0.0000
Y 0.0000 0.5000 0.0000

## Properties
The total magnetic moment is 0.0 μB per cell. The crystal system is monoclinic. The density of states at the Fermi level is 29.892 states/eV/f.u. As for the calculated formation energy: 0.3857 eV/atom. The calculated density is 6.86 g cm⁻³.

***

Record 4
The following is a DFT calculation (GGA-PBE) of crystalline Nd2Dy2Tm7 at its relaxed geometry.

abc: 6.0354 7.9965 7.9965
angles: 91.62 73.54 73.54
Sites, in units of the cell vectors:
Tm 0.8211 0.4113 0.9355
Tm 0.8211 0.9355 0.4113
Tm 0.0000 0.0000 0.0000
Tm 0.1789 0.5887 0.0645
Tm 0.1789 0.0645 0.5887
Tm 0.5765 0.7701 0.7701
Tm 0.4235 0.2299 0.2299
Nd 0.1919 0.5961 0.5961
Nd 0.8081 0.4039 0.4039
Dy 0.5000 0.2112 0.7888
Dy 0.5000 0.7888 0.2112

## Properties
The total magnetic moment is 0.0 μB per cell. The crystal system is monoclinic. The density of states at the Fermi level is 17.537 states/eV/f.u. As for the calculated formation energy: 0.1551 eV/atom. The calculated density is 8.46 g cm⁻³.

***

Record 5
The following is a DFT calculation (GGA-PBE) of crystalline Li7CdCu3 at its relaxed geometry.

abc: 2.7265 12.2730 10.8346
angles: 90.00 90.00 96.38
Sites, in units of the cell vectors:
Cu 0.1627 0.3254 0.4707
Cu 0.1627 0.3254 0.0293
Cu 0.8296 0.6591 0.2500
Cu 0.1704 0.3409 0.7500
Cu 0.8373 0.6746 0.5293
Cu 0.8373 0.6746 0.9707
Li 0.3978 0.7957 0.1214
Li 0.3978 0.7957 0.3786
Li 0.3293 0.6585 0.7500
Li 0.4299 0.8597 0.6112
Li 0.7347 0.4694 0.6103
Li 0.7347 0.4694 0.8897
Li 0.5701 0.1403 0.3888
Li 0.6022 0.2043 0.8786
Li 0.6022 0.2043 0.6214
Li 0.4299 0.8597 0.8888
Li 0.2653 0.5306 0.1103
Li 0.5701 0.1403 0.1112
Li 0.2653 0.5306 0.3897
Li 0.6707 0.3415 0.2500
Cd 0.9852 0.9705 0.2500
Cd 0.0148 0.0295 0.7500

## Properties
The total magnetic moment is 0.0 μB per cell. The crystal system is orthorhombic. The density of states at the Fermi level is 3.023 states/eV/f.u. As for the calculated formation energy: -0.0023 eV/atom. The calculated density is 3.24 g cm⁻³.

***

Record 6
The following is a DFT calculation (GGA-PBE) of crystalline SrBe2HgF8 at its relaxed geometry.

abc: 4.8724 4.8724 7.9864
angles: 87.72 87.72 68.70
Sites, in units of the cell vectors:
F 0.7115 0.7115 0.4135
F 0.2681 0.2681 0.9217
F 0.7241 0.2493 0.7549
F 0.7507 0.2759 0.2451
F 0.2759 0.7507 0.2451
F 0.2493 0.7241 0.7549
F 0.7319 0.7319 0.0783
F 0.2885 0.2885 0.5865
Be 0.6225 0.6225 0.2456
Be 0.3775 0.3775 0.7544
Sr 0.0000 0.0000 0.5000
Hg 0.0000 0.0000 0.0000

## Properties
The total magnetic moment is 0.0 μB per cell. The crystal system is monoclinic. For the raw formation energy, the calculation gives -2.9700 eV/atom. The density of states at the Fermi level is 0.000 states/eV/f.u. The calculated density is 4.31 g cm⁻³.